1.
The following is a DFT calculation (PBE) of crystalline ErGaHg at its relaxed geometry.

- energy relative to the elements (meV per atom) = -314
- excess energy over the best structure of this formula in the dataset (meV per atom) = 164
- space-group type = I4mm, No. 107

Cell lengths 3.4771, 3.4771, 6.1301 Å; angles 106.48, 106.48, 90.00 degrees
Each line ends with the local moment (μB).
Fractional positions:
Ga1 0.2792 0.2792 0.5585  0.00
Er1 0.9458 0.9458 0.8917  0.16
Hg1 0.6249 0.6249 0.2498  0.00

=====

2.
The following is a DFT calculation (PBE) of crystalline YB3Br at its relaxed geometry.

- excess energy over the best structure of this formula in the dataset (meV per atom) = 432
- uncorrected formation energy (eV/atom) = 2.2315
- space-group type = Pm-3m, No. 221

Cell lengths 5.0183, 5.0183, 5.0183 Å; angles 90.00, 90.00, 90.00 degrees
Fractional positions:
B1 0.0000 0.5000 0.0000
Y1 0.0000 0.0000 0.0000
B2 0.5000 0.0000 0.0000
Br1 0.5000 0.5000 0.5000
B3 0.0000 0.0000 0.5000

=====

3.
The following is a DFT calculation (PBE) of crystalline LiPu2TcO8 at its relaxed geometry.

- uncorrected formation energy (eV/atom) = -2.2291
- space-group type = Cmmm, No. 65

Cell lengths 4.7967, 4.7954, 6.8050 Å; angles 90.00, 90.00, 90.43 degrees
Each line ends with the local moment (μB).
Fractional positions:
O1 0.3114 0.3109 0.5000  -0.15
O2 0.1920 0.8074 0.7847  -0.07
Li1 0.0000 0.0000 0.5000  0.00
Pu1 0.5000 0.5000 0.7480  3.54
O3 0.7057 0.7063 0.0000  -0.07
Tc1 0.0000 0.0000 0.0000  1.49
O4 0.8080 0.1926 0.2153  -0.07
O5 0.8080 0.1925 0.7847  -0.07
Pu2 0.5000 0.5000 0.2520  3.54
O6 0.1920 0.8075 0.2153  -0.07
O7 0.6886 0.6891 0.5000  -0.15
O8 0.2943 0.2937 0.0000  -0.07

=====

4.
The following is a DFT calculation (PBE) of crystalline Nd3DyHg3 at its relaxed geometry.

- energy relative to the elements (meV per atom) = -311
- space-group type = Cmmm, No. 65

Cell lengths 7.4984, 7.4984, 7.4271 Å; angles 89.98, 89.98, 87.05 degrees
Each line ends with the local moment (μB).
Fractional positions:
Dy1 0.2083 0.2083 0.9999  0.03
Nd1 0.7444 0.2556 0.5000  0.06
Nd2 0.7228 0.7228 0.5002  0.01
Dy2 0.7917 0.7917 0.0001  0.03
Nd3 0.2556 0.7444 0.5000  0.06
Hg1 0.4999 0.9999 0.2387  0.00
Nd4 0.2772 0.2772 0.4998  0.01
Nd5 0.3107 0.6893 0.0000  0.15
Hg2 0.9999 0.4999 0.2387  0.00
Hg3 0.0001 0.0001 0.7252  0.00
Nd6 0.6893 0.3107 0.0000  0.15
Hg4 0.5001 0.0001 0.7613  0.00
Hg5 0.0001 0.5001 0.7613  0.00
Hg6 0.9999 0.9999 0.2748  0.00

=====

5.
The following is a DFT calculation (PBE) of crystalline CeNb2S at its relaxed geometry.

- uncorrected formation energy (eV/atom) = -0.0054
- space-group type = R-3m, No. 166

Cell lengths 3.0754, 3.0754, 9.5749 Å; angles 80.76, 80.76, 60.00 degrees
Fractional positions:
Ce1 0.0000 0.0000 0.0000
S1 0.5000 0.5000 0.5000
Nb1 0.8989 0.8989 0.3033
Nb2 0.1011 0.1011 0.6967

=====

6.
The following is a DFT calculation (PBE) of crystalline TlCo2Ni at its relaxed geometry.

- energy relative to the elements (meV per atom) = 583
- excess energy over the best structure of this formula in the dataset (meV per atom) = 226
- space-group type = R3m, No. 160

Cell lengths 8.1153, 8.1153, 8.1153 Å; angles 20.86, 20.86, 20.86 degrees
Each line ends with the local moment (μB).
Fractional positions:
Tl1 0.7507 0.7507 0.7507  -0.04
Co1 0.9879 0.9879 0.9879  1.64
Co2 0.2515 0.2515 0.2515  1.96
Ni1 0.5099 0.5099 0.5099  0.37

=====

7.
The following is a DFT calculation (PBE) of crystalline Nd8NiRh3Br4 at its relaxed geometry.

- uncorrected formation energy (eV/atom) = -1.0099
- space-group type = C2/m, No. 12

Cell lengths 8.2367, 9.1571, 8.2340 Å; angles 116.74, 120.01, 90.00 degrees
Fractional positions:
Br1 0.0000 0.0000 0.5000
Nd1 0.7704 0.3061 0.0352
Nd2 0.7352 0.6939 0.9648
Nd3 0.7703 0.3061 0.5407
Br2 0.5000 0.0000 0.0000
Nd4 0.2296 0.6939 0.9648
Nd5 0.7328 0.6979 0.4656
Ni1 0.0000 0.5000 0.0000
Br3 0.0000 0.0000 0.0000
Nd6 0.2648 0.3061 0.0352
Br4 0.5000 0.0000 0.5000
Rh1 0.0000 0.5000 0.5000
Rh2 0.5000 0.5000 0.5000
Nd7 0.2672 0.3021 0.5344
Rh3 0.5000 0.5000 0.0000
Nd8 0.2297 0.6939 0.4593

=====

8.
The following is a DFT calculation (PBE) of crystalline NiMo2Br at its relaxed geometry.

- excess energy over the best structure of this formula in the dataset (meV per atom) = 518
- uncorrected formation energy (eV/atom) = 0.8723
- space-group type = I-42d, No. 122

Cell lengths 3.6822, 3.6822, 10.0911 Å; angles 79.49, 79.49, 90.00 degrees
Fractional positions:
Br1 0.7500 0.2500 0.5000
Mo1 0.3750 0.3971 0.7500
Mo2 0.1471 0.6250 0.2500
Ni1 0.2500 0.7500 0.5000
Ni2 0.5000 0.5000 0.0000
Mo3 0.6029 0.1250 0.2500
Mo4 0.8750 0.8529 0.7500
Br2 0.0000 0.0000 0.0000

=====

Copy entry 3 word for word.
The following is a DFT calculation (PBE) of crystalline LiPu2TcO8 at its relaxed geometry.

- uncorrected formation energy (eV/atom) = -2.2291
- space-group type = Cmmm, No. 65

Cell lengths 4.7967, 4.7954, 6.8050 Å; angles 90.00, 90.00, 90.43 degrees
Each line ends with the local moment (μB).
Fractional positions:
O1 0.3114 0.3109 0.5000  -0.15
O2 0.1920 0.8074 0.7847  -0.07
Li1 0.0000 0.0000 0.5000  0.00
Pu1 0.5000 0.5000 0.7480  3.54
O3 0.7057 0.7063 0.0000  -0.07
Tc1 0.0000 0.0000 0.0000  1.49
O4 0.8080 0.1926 0.2153  -0.07
O5 0.8080 0.1925 0.7847  -0.07
Pu2 0.5000 0.5000 0.2520  3.54
O6 0.1920 0.8075 0.2153  -0.07
O7 0.6886 0.6891 0.5000  -0.15
O8 0.2943 0.2937 0.0000  -0.07

=====

What is the formula in the fifth record? CeNb2S